Compound: CaMoIr2
Source: Alexandria via LeMat-Bulk
Functional: PBE-GGA
Structure: optimized geometry

Cell lengths 2.9134, 2.9134, 27.5549 Å; angles 90.00, 90.00, 120.00 degrees
With the nearest neighbours (Å) after each atom.
Atoms (fractional coordinates):
Ca 0.0000 0.0000 0.0000  6 Ca 2.91, 6 Ir 2.99
Ca 0.3333 0.6667 0.6667  6 Ca 2.91, 6 Ir 2.99
Ca 0.6667 0.3333 0.3333  6 Ca 2.91, 6 Ir 2.99
Mo 0.0000 0.0000 0.5000  6 Ir 2.70, 6 Mo 2.91
Mo 0.3333 0.6667 0.1667  6 Ir 2.70, 6 Mo 2.91
Mo 0.6667 0.3333 0.8333  6 Ir 2.70, 6 Mo 2.91
Ir 0.0000 0.0000 0.2435  3 Mo 2.70, 6 Ir 2.91, 3 Ca 2.99
Ir 0.0000 0.0000 0.7565  3 Mo 2.70, 6 Ir 2.91, 3 Ca 2.99
Ir 0.3333 0.6667 0.4232  3 Mo 2.70, 6 Ir 2.91, 3 Ca 2.99
Ir 0.3333 0.6667 0.9102  3 Mo 2.70, 6 Ir 2.91, 3 Ca 2.99
Ir 0.6667 0.3333 0.0898  3 Mo 2.70, 6 Ir 2.91, 3 Ca 2.99
Ir 0.6667 0.3333 0.5768  3 Mo 2.70, 6 Ir 2.91, 3 Ca 2.99

Output
symmetry: No. 166
ΔE_f: 0.16 eV/atom
energy above the lowest structure with this stoichiometry: 326 meV/atom
raw total energy: -7.477 eV per atom